1.
VASP calculation (PBE-GGA) on a relaxed structure of PmAl5Pt.

Computed properties:
density of states at the Fermi level	0.45	states/eV per atom
calculated formation energy	-4.3	eV/f.u.
calculated total energy	-4.8312	eV per atom
calculated volume	18.96	Å³/atom
crystal system	tetragonal

The structure in CIF format:
```
data_PmAl5Pt
_chemical_formula_sum 'Pm1 Al5 Pt1'
_symmetry_space_group_name_H-M 'P 4/m m m'
_symmetry_Int_Tables_number 123
_symmetry_space_group_name_Hall '-P 4 2'
_cell_length_a 4.3508
_cell_length_b 4.3508
_cell_length_c 7.0102
_cell_angle_alpha 90.00
_cell_angle_beta 90.00
_cell_angle_gamma 90.00
loop_
_atom_site_label
_atom_site_fract_x
_atom_site_fract_y
_atom_site_fract_z
_atom_site_occupancy
Pm1 0.0000 0.0000 0.0000 1
Al1 0.0000 0.5000 0.3020 1
Al2 0.5000 0.5000 0.0000 1
Pt1 0.0000 0.0000 0.5000 1
```

2.
VASP calculation (PBE-GGA) on a relaxed structure of La2SmCu.

Computed properties:
density of states at the Fermi level	1.22	states/eV per atom
calculated formation energy	-0.2	eV/f.u.
calculated total energy	-4.7136	eV per atom
calculated volume	29.78	Å³/atom
crystal system	monoclinic
E above lowest polymorph	0.016	eV/atom

The structure in CIF format:
```
data_La2SmCu
_chemical_formula_sum 'La4 Sm2 Cu2'
_symmetry_space_group_name_H-M 'P 1 21/m 1'
_symmetry_Int_Tables_number 11
_cell_length_a 5.0461
_cell_length_b 7.8691
_cell_length_c 6.5050
_cell_angle_alpha 90.00
_cell_angle_beta 112.75
_cell_angle_gamma 90.00
loop_
_symmetry_equiv_pos_as_xyz
'x,y,z'
'-x,-y,-z'
'-x,y+1/2,-z'
'x,-y+1/2,z'
loop_
_atom_site_label
_atom_site_fract_x
_atom_site_fract_y
_atom_site_fract_z
_atom_site_occupancy
La1 0.1433 0.0310 0.2859 1
Sm1 0.4522 0.2500 0.9060 1
Cu1 0.2968 0.7500 0.5963 1
```

3.
VASP calculation (PBE-GGA) on a relaxed structure of ZrZn2GaH.

Computed properties:
density of states at the Fermi level	0.16	states/eV per atom
calculated total energy	-3.7363	eV per atom
calculated volume	13.93	Å³/atom
crystal system	tetragonal

The structure in CIF format:
```
data_ZrZn2GaH
_chemical_formula_sum 'Zr1 Zn2 Ga1 H1'
_symmetry_space_group_name_H-M 'P 4/m m m'
_symmetry_Int_Tables_number 123
_symmetry_space_group_name_Hall '-P 4 2'
_cell_length_a 4.1082
_cell_length_b 4.1082
_cell_length_c 4.1271
_cell_angle_alpha 90.00
_cell_angle_beta 90.00
_cell_angle_gamma 90.00
loop_
_atom_site_label
_atom_site_fract_x
_atom_site_fract_y
_atom_site_fract_z
_atom_site_occupancy
Zr1 0.0000 0.0000 0.0000 1
Zn1 0.0000 0.5000 0.5000 1
Ga1 0.5000 0.5000 0.0000 1
H1 0.0000 0.0000 0.5000 1
```

4.
VASP calculation (PBE-GGA) on a relaxed structure of Sc2MoCl.

Computed properties:
density of states at the Fermi level	1.38	states/eV per atom
calculated total energy	-6.1629	eV per atom
calculated volume	19.23	Å³/atom
raw formation energy	0.172	eV per atom
crystal system	tetragonal
E above lowest polymorph	0.719	eV/atom

The structure in CIF format:
```
data_Sc2MoCl
_chemical_formula_sum 'Sc4 Mo2 Cl2'
_symmetry_space_group_name_H-M 'I -4 m 2'
_symmetry_Int_Tables_number 119
_symmetry_space_group_name_Hall 'I -4 -2'
_cell_length_a 3.8115
_cell_length_b 3.8115
_cell_length_c 10.5869
_cell_angle_alpha 90.00
_cell_angle_beta 90.00
_cell_angle_gamma 90.00
loop_
_atom_site_label
_atom_site_fract_x
_atom_site_fract_y
_atom_site_fract_z
_atom_site_occupancy
Sc1 0.0000 0.0000 0.0000 1
Sc2 0.0000 0.5000 0.2500 1
Mo1 0.0000 0.0000 0.5000 1
Cl1 0.0000 0.5000 0.7500 1
```

5.
VASP calculation (PBE-GGA) on a relaxed structure of KNb2Te.

Computed properties:
density of states at the Fermi level	1.22	states/eV per atom
calculated total energy	-5.3943	eV per atom
calculated volume	28.71	Å³/atom
raw formation energy	0.700	eV per atom
crystal system	tetragonal

The structure in CIF format:
```
data_KNb2Te
_chemical_formula_sum 'K4 Nb8 Te4'
_symmetry_space_group_name_H-M 'I -4 2 d'
_symmetry_Int_Tables_number 122
_symmetry_space_group_name_Hall 'I -4 2bw'
_cell_length_a 4.6710
_cell_length_b 4.6710
_cell_length_c 21.0512
_cell_angle_alpha 90.00
_cell_angle_beta 90.00
_cell_angle_gamma 90.00
loop_
_atom_site_label
_atom_site_fract_x
_atom_site_fract_y
_atom_site_fract_z
_atom_site_occupancy
K1 0.0000 0.0000 0.0000 1
Nb1 0.0955 0.2500 0.6250 1
Te1 0.0000 0.0000 0.5000 1
```

6.
VASP calculation (PBE-GGA) on a relaxed structure of Sm2Tm2Zn.

Computed properties:
density of states at the Fermi level	1.22	states/eV per atom
calculated formation energy	-0.6	eV/f.u.
calculated total energy	-4.0590	eV per atom
calculated volume	28.29	Å³/atom
crystal system	tetragonal
E above lowest polymorph	0.000	eV/atom

The structure in CIF format:
```
data_Sm2Tm2Zn
_chemical_formula_sum 'Sm4 Tm4 Zn2'
_symmetry_space_group_name_H-M 'I 4/m m m'
_symmetry_Int_Tables_number 139
_symmetry_space_group_name_Hall '-I 4 2'
_cell_length_a 3.5424
_cell_length_b 3.5424
_cell_length_c 22.5445
_cell_angle_alpha 90.00
_cell_angle_beta 90.00
_cell_angle_gamma 90.00
loop_
_atom_site_label
_atom_site_fract_x
_atom_site_fract_y
_atom_site_fract_z
_atom_site_occupancy
Sm1 0.0000 0.0000 0.1920 1
Tm1 0.0000 0.0000 0.4231 1
Zn1 0.0000 0.0000 0.0000 1
```